Record 1
DFT (GGA-PBE) results for crystalline NaHfSn2 at its relaxed geometry.

Calculated values
space group	I-42d (122)
DOS at the Fermi energy	6.97	states/eV/cell
formation energy	1.34	eV/f.u.

```
8
Lattice="-4.372 -1.035 1.548 -0.755 -2.625 -3.888 1.005 -9.843 3.547" Properties=species:S:1:pos:R:3 pbc="T T T"
Sn -0.600 -4.191 -1.409
Sn -2.743 -3.476 1.428
Na -2.563 -1.830 -1.170
Hf -2.965 -6.354 1.963
Sn -1.140 -8.655 1.932
Hf 0.000 0.000 0.000
Sn -3.762 -10.686 0.464
Na -1.157 -7.149 -0.756
```



Record 2
DFT (GGA-PBE) results for crystalline NaHfSn2 at its relaxed geometry.

Calculated values
space group	P4/mmm (123)
DOS at the Fermi energy	3.07	states/eV/cell
formation energy	-0.45	eV/f.u.

```
4
Lattice="-0.516 3.142 0.001 -4.233 -0.696 3.339 3.295 0.540 4.290" Properties=species:S:1:pos:R:3 pbc="T T T"
Hf -0.258 1.571 0.000
Na -0.727 1.493 3.815
Sn -2.117 -0.348 1.669
Sn 1.647 0.270 2.145
```



Record 3
DFT (GGA-PBE) results for crystalline Na3HfSn at its relaxed geometry.

Calculated values
space group	Pm-3m (221)
DOS at the Fermi energy	4.80	states/eV/cell
relative energy among the computed polymorphs	0.0	kJ/mol of atoms
formation energy	5.07	eV/f.u.

```
5
Lattice="-2.555 -4.916 -1.287 0.494 -1.674 5.413 -5.057 2.320 1.179" Properties=species:S:1:pos:R:3 pbc="T T T"
Na 0.247 -0.837 2.706
Na -2.529 1.160 0.590
Sn 0.000 0.000 0.000
Hf -3.559 -2.135 2.652
Na -1.277 -2.458 -0.644
```



Record 4
DFT (GGA-PBE) results for crystalline Na3HfSn2Te6 at its relaxed geometry.

Calculated values
space group	C2/m (12)
DOS at the Fermi energy	4.31	states/eV/cell
formation energy without anion corrections	-784	kJ/mol of formula units

```
12
Lattice="-1.335 0.717 -7.486 -3.318 -5.629 3.955 -4.243 6.105 2.650" Properties=species:S:1:pos:R:3 pbc="T T T"
Sn -2.000 -1.410 -3.651
Te -6.560 1.951 -2.449
Sn -2.653 -3.501 0.119
Na -4.448 0.596 -0.440
Na -3.805 2.652 -4.146
Te -4.379 3.570 1.221
Te -7.181 -0.034 1.130
Na -5.090 -1.459 3.265
Te -4.517 -2.377 -2.102
Te -2.335 -0.758 1.568
Hf 0.000 0.000 0.000
Te -1.715 1.227 -2.010
```



Record 5
DFT (GGA-PBE) results for crystalline Na2HfSn3Te6 at its relaxed geometry.

Calculated values
space group	C2/m (12)
formation energy without anion corrections	-659	kJ/mol of formula units

```
12
Lattice="7.804 0.005 0.014 -3.896 6.762 0.014 -1.292 -2.237 7.250" Properties=species:S:1:pos:R:3 pbc="T T T"
Sn 1.308 2.265 3.639
Sn 5.275 -0.026 3.639
Te 3.779 2.468 5.571
Na -0.032 4.530 0.014
Na 3.940 2.237 0.014
Sn -2.659 4.556 3.639
Te -0.092 -0.160 5.491
Te 2.368 0.023 1.707
Te -1.163 2.062 1.707
Te 2.708 4.690 1.786
Hf 0.000 0.000 0.000
Te 0.249 4.507 5.571
```



Record 6
DFT (GGA-PBE) results for crystalline Na2HfSnTe4 at its relaxed geometry.

Calculated values
space group	P2/m (10)
DOS at the Fermi energy	0.61	states/eV/cell
formation energy without anion corrections	-568	kJ/mol of formula units

```
8
Lattice="-3.905 0.419 1.768 -3.210 -0.217 -7.037 0.411 -7.363 2.651" Properties=species:S:1:pos:R:3 pbc="T T T"
Hf -3.557 0.101 -2.634
Te -2.231 -1.760 -4.511
Te -3.991 -5.644 -2.233
Te -2.713 -1.519 -0.385
Sn 0.000 0.000 0.000
Na -1.747 -3.472 2.210
Na -1.399 -3.790 -2.193
Te -0.567 -5.821 0.125
```



Record 7
DFT (GGA-PBE) results for crystalline NaHf2SnW at its relaxed geometry.

Calculated values
space group	P4/mmm (123)
DOS at the Fermi energy	6.28	states/eV/cell
formation energy	5.43	eV/f.u.

```
5
Lattice="5.007 0.000 0.000 0.000 5.444 0.000 0.000 0.000 5.007" Properties=species:S:1:pos:R:3 pbc="T T T"
W 0.000 0.000 0.000
Na 0.000 2.722 0.000
Hf 0.000 0.000 2.503
Sn 2.503 2.722 2.503
Hf 2.503 0.000 0.000
```



Record 8
DFT (GGA-PBE) results for crystalline Na3SrHf at its relaxed geometry.

Calculated values
space group	Pm-3m (221)
DOS at the Fermi energy	9.80	states/eV/cell
relative energy among the computed polymorphs	0.0	kJ/mol of atoms
formation energy	5.32	eV/f.u.

```
5
Lattice="-3.673 4.579 -1.426 -4.744 -3.733 0.233 -0.705 1.262 5.866" Properties=species:S:1:pos:R:3 pbc="T T T"
Na -2.372 -1.867 0.116
Na -0.352 0.631 2.933
Sr -4.561 1.054 2.336
Na -1.837 2.289 -0.713
Hf 0.000 0.000 0.000
```



Record 9
DFT (GGA-PBE) results for crystalline NaSrHf3 at its relaxed geometry.

Calculated values
space group	Pm-3m (221)
DOS at the Fermi energy	9.17	states/eV/cell
relative energy among the computed polymorphs	0.0	kJ/mol of atoms
formation energy	7.36	eV/f.u.

```
5
Lattice="5.221 0.000 0.000 0.000 5.221 0.000 0.000 0.000 5.221" Properties=species:S:1:pos:R:3 pbc="T T T"
Hf 2.610 0.000 0.000
Hf 0.000 0.000 2.610
Sr 2.610 2.610 2.610
Hf 0.000 2.610 0.000
Na 0.000 0.000 0.000
```



Record 10
DFT (GGA-PBE) results for crystalline NaSr2Hf at its relaxed geometry.

Calculated values
space group	I-42d (122)
DOS at the Fermi energy	8.00	states/eV/cell
relative energy among the computed polymorphs	22.1	kJ/mol of atoms
formation energy	3.55	eV/f.u.

```
8
Lattice="9.150 0.000 0.000 0.000 9.150 0.000 4.575 4.575 3.628" Properties=species:S:1:pos:R:3 pbc="T T T"
Hf 0.000 0.000 0.000
Sr 2.421 6.862 0.907
Hf 9.150 4.575 1.814
Na 4.575 4.575 0.000
Sr 6.728 2.287 0.907
Na 4.575 9.150 1.814
Sr 6.862 6.996 2.721
Sr 11.437 11.303 2.721
```



Record 11
DFT (GGA-PBE) results for crystalline NaSr2Hf at its relaxed geometry.

Calculated values
space group	Fm-3m (225)
DOS at the Fermi energy	4.46	states/eV/cell
relative energy among the computed polymorphs	0.0	kJ/mol of atoms
formation energy	2.63	eV/f.u.

```
4
Lattice="0.000 4.204 4.204 4.204 0.000 4.204 4.204 4.204 0.000" Properties=species:S:1:pos:R:3 pbc="T T T"
Sr 6.306 6.306 6.306
Hf 4.204 4.204 4.204
Sr 2.102 2.102 2.102
Na 0.000 0.000 0.000
```



Record 12
DFT (GGA-PBE) results for crystalline NaSrHf3 at its relaxed geometry.

Calculated values
space group	Pm-3m (221)
DOS at the Fermi energy	7.27	states/eV/cell
relative energy among the computed polymorphs	52.9	kJ/mol of atoms
formation energy	10.10	eV/f.u.

```
5
Lattice="-4.313 -1.052 2.966 3.110 -2.188 3.747 0.478 4.755 2.381" Properties=species:S:1:pos:R:3 pbc="T T T"
Hf -2.157 -0.526 1.483
Na -0.363 0.758 4.547
Hf 0.239 2.378 1.190
Sr 0.000 0.000 0.000
Hf 1.555 -1.094 1.874
```



Record 13
DFT (GGA-PBE) results for crystalline NaSr2Hf at its relaxed geometry.

Calculated values
space group	R-3m (166)
DOS at the Fermi energy	3.87	states/eV/cell
relative energy among the computed polymorphs	4.1	kJ/mol of atoms
formation energy	2.80	eV/f.u.

```
4
Lattice="-1.813 3.052 0.194 -2.042 1.031 -2.721 -11.655 -5.137 4.478" Properties=species:S:1:pos:R:3 pbc="T T T"
Sr -9.099 -3.535 3.167
Sr -6.411 2.481 -1.216
Na -7.755 -0.527 0.975
Hf 0.000 0.000 0.000
```



Record 14
DFT (GGA-PBE) results for crystalline NaSrHf2Te at its relaxed geometry.

Calculated values
space group	P4/mmm (123)
DOS at the Fermi energy	5.77	states/eV/cell
formation energy without anion corrections	796	kJ/mol of formula units

```
5
Lattice="5.437 0.000 0.000 0.000 5.320 0.000 0.000 0.000 5.437" Properties=species:S:1:pos:R:3 pbc="T T T"
Na 0.000 2.660 0.000
Te 2.719 2.660 2.719
Sr 0.000 0.000 0.000
Hf 2.719 0.000 0.000
Hf 0.000 0.000 2.719
```



Record 15
DFT (GGA-PBE) results for crystalline NaHf3Ta at its relaxed geometry.

Calculated values
space group	Pm-3m (221)
DOS at the Fermi energy	7.96	states/eV/cell
formation energy	8.98	eV/f.u.

```
5
Lattice="-2.196 1.758 -3.948 2.389 -3.197 -2.752 -3.602 -3.192 0.581" Properties=species:S:1:pos:R:3 pbc="T T T"
Hf -1.098 0.879 -1.974
Hf -1.801 -1.596 0.291
Na 0.000 0.000 0.000
Hf 1.195 -1.598 -1.376
Ta -1.704 -2.315 -3.060
```



Record 16
DFT (GGA-PBE) results for crystalline Na2HfTa4 at its relaxed geometry.

Calculated values
space group	I4/mmm (139)
DOS at the Fermi energy	9.39	states/eV/cell
formation energy	14.93	eV/f.u.

```
7
Lattice="4.969 0.000 0.000 0.000 4.969 0.000 2.484 2.484 7.420" Properties=species:S:1:pos:R:3 pbc="T T T"
Ta 0.000 2.484 0.000
Na 4.969 4.969 5.456
Ta 2.484 0.000 0.000
Na 2.484 2.484 1.964
Hf 0.000 0.000 0.000
Ta 4.969 4.969 2.480
Ta 2.484 2.484 4.940
```



Record 17
DFT (GGA-PBE) results for crystalline NaHfTa3 at its relaxed geometry.

Calculated values
space group	Pm-3m (221)
DOS at the Fermi energy	11.03	states/eV/cell
relative energy among the computed polymorphs	0.0	kJ/mol of atoms
formation energy	9.54	eV/f.u.

```
5
Lattice="5.027 0.000 0.000 0.000 5.027 0.000 0.000 0.000 5.027" Properties=species:S:1:pos:R:3 pbc="T T T"
Ta 0.000 0.000 2.514
Hf 0.000 0.000 0.000
Na 2.514 2.514 2.514
Ta 0.000 2.514 0.000
Ta 2.514 0.000 0.000
```



Record 18
DFT (GGA-PBE) results for crystalline Na2HfTa2Te6 at its relaxed geometry.

Calculated values
space group	C2/m (12)
DOS at the Fermi energy	4.26	states/eV/cell
formation energy without anion corrections	-612	kJ/mol of formula units

```
11
Lattice="6.810 -0.048 0.181 -3.407 5.896 0.181 -1.063 -1.827 7.968" Properties=species:S:1:pos:R:3 pbc="T T T"
Na -1.545 4.813 0.181
Na 4.948 1.035 0.181
Te 1.841 -1.058 5.622
Hf -0.531 -0.914 3.984
Te 0.617 1.061 2.095
Te 1.722 2.960 6.235
Ta 2.430 1.278 4.165
Te 4.169 2.944 2.708
Te -1.829 1.078 5.622
Te 0.499 5.079 2.708
Ta -0.090 2.744 4.165
```



Record 19
DFT (GGA-PBE) results for crystalline NaTb2Hf at its relaxed geometry.

Calculated values
space group	P4/mmm (123)
DOS at the Fermi energy	4.33	states/eV/cell
formation energy	0.57	eV/f.u.

```
4
Lattice="3.383 0.000 0.000 0.000 3.383 0.000 0.000 0.000 10.444" Properties=species:S:1:pos:R:3 pbc="T T T"
Tb 0.000 0.000 8.191
Hf 1.691 1.691 0.000
Na 1.691 1.691 5.222
Tb 0.000 0.000 2.253
```



Record 20
DFT (GGA-PBE) results for crystalline Na2TbHf2Te6 at its relaxed geometry.

Calculated values
space group	C2/m (12)
DOS at the Fermi energy	4.58	states/eV/cell
formation energy without anion corrections	-1056	kJ/mol of formula units

```
11
Lattice="-0.148 -6.141 -3.821 5.014 5.031 -1.368 3.173 -2.971 6.853" Properties=species:S:1:pos:R:3 pbc="T T T"
Te 2.610 -4.376 3.255
Hf 4.887 -0.163 1.244
Na 0.672 -4.365 -3.431
Hf 3.152 -3.917 0.420
Te 5.791 -2.946 1.232
Te 5.429 0.296 -1.590
Tb 1.586 -1.485 3.426
Te 4.409 -0.484 4.109
Te 2.248 -1.134 0.432
Te 3.630 -3.596 -2.445
Na 4.194 3.256 -1.758
```



Record 21
DFT (GGA-PBE) results for crystalline Na2TbHfTe4 at its relaxed geometry.

Calculated values
space group	P2/m (10)
DOS at the Fermi energy	2.95	states/eV/cell
formation energy without anion corrections	-809	kJ/mol of formula units

```
8
Lattice="4.238 0.000 0.000 0.000 7.403 0.148 0.000 -2.579 7.625" Properties=species:S:1:pos:R:3 pbc="T T T"
Na 2.119 -1.290 3.812
Na 0.000 2.412 3.886
Te 2.119 1.310 1.803
Hf 2.119 3.701 0.074
Te 0.000 4.811 1.814
Te 2.119 3.514 5.969
Tb 0.000 0.000 0.000
Te 0.000 0.013 5.958
```



Record 22
DFT (GGA-PBE) results for crystalline NaHf2Tc2 at its relaxed geometry.

Calculated values
space group	P4/mbm (127)
DOS at the Fermi energy	6.91	states/eV/cell
relative energy among the computed polymorphs	0.0	kJ/mol of atoms
formation energy	0.87	eV/f.u.

```
10
Lattice="7.804 0.000 0.000 0.000 7.804 0.000 0.000 0.000 3.192" Properties=species:S:1:pos:R:3 pbc="T T T"
Hf 1.146 5.048 1.596
Na 3.902 3.902 0.000
Tc 1.104 2.798 0.000
Tc 5.006 1.104 0.000
Hf 5.048 6.658 1.596
Tc 2.798 6.700 0.000
Hf 6.658 2.756 1.596
Hf 2.756 1.146 1.596
Na 0.000 0.000 0.000
Tc 6.700 5.006 0.000
```



Record 23
DFT (GGA-PBE) results for crystalline Na2HfTc at its relaxed geometry.

Calculated values
space group	Fm-3m (225)
DOS at the Fermi energy	3.85	states/eV/cell
relative energy among the computed polymorphs	62.4	kJ/mol of atoms
formation energy	5.18	eV/f.u.

```
4
Lattice="0.000 3.436 3.436 3.436 0.000 3.436 3.436 3.436 0.000" Properties=species:S:1:pos:R:3 pbc="T T T"
Hf 3.436 3.436 3.436
Tc 0.000 0.000 0.000
Na 5.155 5.155 5.155
Na 1.718 1.718 1.718
```



Record 24
DFT (GGA-PBE) results for crystalline Na2HfTc2 at its relaxed geometry.

Calculated values
space group	P4/mbm (127)
DOS at the Fermi energy	9.56	states/eV/cell
relative energy among the computed polymorphs	11.4	kJ/mol of atoms
formation energy	5.61	eV/f.u.

```
10
Lattice="8.449 0.000 0.000 0.000 8.449 0.000 0.000 0.000 2.617" Properties=species:S:1:pos:R:3 pbc="T T T"
Tc 1.660 5.885 1.308
Hf 4.224 4.224 0.000
Tc 5.885 6.788 1.308
Tc 2.564 1.660 1.308
Na 0.879 3.346 0.000
Na 3.346 7.570 0.000
Tc 6.788 2.564 1.308
Hf 0.000 0.000 0.000
Na 5.103 0.879 0.000
Na 7.570 5.103 0.000
```



Record 25
DFT (GGA-PBE) results for crystalline NaHfTc2 at its relaxed geometry.

Calculated values
space group	Fm-3m (225)
DOS at the Fermi energy	5.15	states/eV/cell
relative energy among the computed polymorphs	0.0	kJ/mol of atoms
formation energy	2.73	eV/f.u.

```
4
Lattice="0.000 3.252 3.252 3.252 0.000 3.252 3.252 3.252 0.000" Properties=species:S:1:pos:R:3 pbc="T T T"
Hf 3.252 3.252 3.252
Tc 1.626 1.626 1.626
Tc 4.878 4.878 4.878
Na 0.000 0.000 0.000
```



Record 26
DFT (GGA-PBE) results for crystalline Na2HfTc2 at its relaxed geometry.

Calculated values
space group	I4/mmm (139)
DOS at the Fermi energy	5.49	states/eV/cell
relative energy among the computed polymorphs	0.0	kJ/mol of atoms
formation energy	5.01	eV/f.u.

```
5
Lattice="-2.119 -2.355 1.140 2.501 -1.393 1.772 -2.372 4.676 10.223" Properties=species:S:1:pos:R:3 pbc="T T T"
Tc -2.150 0.223 6.410
Tc 0.160 0.705 6.725
Hf 0.000 0.000 0.000
Na -1.545 1.178 9.505
Na -0.444 -0.250 3.630
```



no.,electronic total energy (eV per atom)
1,-4.485
2,-4.933
3,-2.568
4,-4.074
5,-4.190
6,-4.381
7,-6.550
8,-2.055
9,-5.101
10,-2.772
11,-3.002
12,-4.553
13,-2.959
14,-3.559
15,-6.810
16,-6.439
17,-7.457
18,-5.590
19,-4.991
20,-5.179
21,-4.772
22,-8.217
23,-4.443
24,-5.543
25,-7.319
26,-5.662